Here is an optimized crystal structure of Sc5Re from Alexandria. Energies are from PBE.

```
data_Sc5Re
_cell_length_a 11.239
_cell_length_b 3.385
_cell_length_c 7.573
_cell_angle_alpha 90.00
_cell_angle_beta 111.27
_cell_angle_gamma 90.00
_space_group_name_H-M_alt 'C 1 2/m 1'
_space_group_IT_number 12
_space_group_name_Hall '-C 2y'
loop_
_atom_site_label
_atom_site_fract_x
_atom_site_fract_y
_atom_site_fract_z
Sc1 0.000 0.000 0.000
Sc2 0.138 0.500 0.361
Sc3 0.160 0.500 0.786
Re1 0.000 0.000 0.500
```

Computed properties:
- total energy (eV/atom) = -7.39
- crystal system = monoclinic
- formation energy from the elements (meV/atom) = -38
- energy above the lowest structure with this stoichiometry (eV/atom) = 0.0000
- spin magnetization (μB/f.u.) = 0.0